[1]
Entry from Alexandria via LeMat-Bulk: a relaxed Hf2ZnPt6 crystal (GGA-PBE).

Properties
DFT formation energy: -0.7254 eV per atom

Lattice parameters (Å, degrees): 3.906 7.229 12.015 90.00 90.00 90.00
Space group Immm (No. 71)
Asymmetric unit:
Hf 0.000 0.000 0.155 (multiplicity 4)
Zn 0.000 0.000 0.500 (multiplicity 2)
Pt 0.000 0.236 0.335 (multiplicity 8)
Pt 0.000 0.269 0.000 (multiplicity 4)

=====

[2]
Entry from Alexandria via LeMat-Bulk: a relaxed SbTe2Pt crystal (GGA-PBE).

Properties
raw total energy: -4.2065 eV per atom

Lattice parameters (Å, degrees): 3.992 3.929 7.350 90.00 104.60 90.00
Space group Pm (No. 6)
Asymmetric unit:
Sb 0.000 0.000 0.000 (multiplicity 1)
Te 0.354 0.500 0.739 (multiplicity 1)
Te 0.668 0.000 0.368 (multiplicity 1)
Pt 0.551 0.500 0.113 (multiplicity 1)

=====

[3]
Entry from Alexandria via LeMat-Bulk: a relaxed ReRh crystal (GGA-PBE).

Properties
energy relative to the lowest polymorph listed for this composition: 130.6 meV/atom
DFT formation energy: -0.0464 eV per atom

Lattice parameters (Å, degrees): 3.925 3.925 7.532 90.00 90.00 90.00
Space group I4_1/amd (No. 141, origin choice 2)
Asymmetric unit:
Re 0.000 0.250 0.375 (multiplicity 4)
Rh 0.000 0.250 0.875 (multiplicity 4)